VASP calculation (PBE) on crystalline SrFe2Au at its relaxed geometry.

Unit cell a=3.5463 b=3.5463 c=6.6923 alpha=90.00 beta=90.00 gamma=90.00
Last column: nearest neighbours and their distance in Å.
Atoms (fractional coordinates):
1 Sr 0.0000 0.0000 0.0000  2 Au 3.35, 8 Fe 3.37, 4 Sr 3.55
2 Fe 0.5000 0.5000 0.3364  1 Fe 2.19
3 Fe 0.5000 0.5000 0.6636  1 Fe 2.19
4 Au 0.0000 0.0000 0.5000  8 Fe 2.74

Results
V: 84.2 Å³/cell
Calculated total energy: -5.047 eV/atom